The following is a DFT calculation (PBE) of a relaxed CaV2PdW crystal.

Calculated values
Fermi-level density of states = 6.05 states/eV/f.u.
Energy of formation = 2.148 eV/atom

Lattice parameters (Å, degrees): 4.4299 4.4299 4.5735 90.00 90.00 90.00
Closest atoms and distances in Å follow each position.
Element x y z (fractional)
1 Ca 0.0000 0.0000 0.0000  4 V 2.21, 2 Pd 2.29
2 V 0.0000 0.5000 0.0000  2 Ca 2.21
3 V 0.5000 0.0000 0.0000  2 Ca 2.21
4 Pd 0.0000 0.0000 0.5000  2 Ca 2.29
5 W 0.5000 0.5000 0.5000  4 Pd 3.13, 8 V 3.18

The following is a DFT calculation (PBE) of a relaxed CaZrV2Pd crystal.

Calculated values
Fermi-level density of states = 8.68 states/eV/f.u.
Energy of formation = 0.934 eV/atom

Lattice parameters (Å, degrees): 4.8420 4.8420 5.0702 90.00 90.00 90.00
Closest atoms and distances in Å follow each position.
Element x y z (fractional)
1 Ca 0.0000 0.0000 0.0000  2 Pd 2.54
2 Zr 0.5000 0.5000 0.0000  4 Ca 3.42, 8 V 3.51
3 V 0.0000 0.5000 0.5000  2 Pd 2.42
4 V 0.5000 0.0000 0.5000  2 Pd 2.42
5 Pd 0.0000 0.0000 0.5000  4 V 2.42, 2 Ca 2.54

The following is a DFT calculation (PBE) of a relaxed Ca2PdW crystal.

Calculated values
Fermi-level density of states = 5.89 states/eV/f.u.
Energy of formation = 0.877 eV/atom
Polymorph energy (0 for the lowest one) = 0.220 eV per atom

Lattice parameters (Å, degrees): 8.0922 8.0922 5.6632 90.00 90.00 90.00
Closest atoms and distances in Å follow each position.
Element x y z (fractional)
1 Ca 0.2159 0.2500 0.1250  2 Pd 2.77, 2 Ca 2.88
2 Ca 0.2500 0.7159 0.3750  2 Pd 2.77, 2 Ca 2.88
3 Ca 0.2500 0.7841 0.8750  2 Pd 2.77, 2 Ca 2.88
4 Ca 0.2841 0.2500 0.6250  2 Pd 2.77, 2 Ca 2.88
5 Ca 0.7159 0.7500 0.6250  2 Pd 2.77, 2 Ca 2.88
6 Ca 0.7500 0.2159 0.8750  2 Pd 2.77, 2 Ca 2.88
7 Ca 0.7500 0.2841 0.3750  2 Pd 2.77, 2 Ca 2.88
8 Ca 0.7841 0.7500 0.1250  2 Pd 2.77, 2 Ca 2.88
9 Pd 0.0000 0.0000 0.0000  4 Ca 2.77, 2 W 2.83
10 Pd 0.0000 0.5000 0.2500  4 Ca 2.77, 2 W 2.83
11 Pd 0.5000 0.0000 0.7500  4 Ca 2.77, 2 W 2.83
12 Pd 0.5000 0.5000 0.5000  4 Ca 2.77, 2 W 2.83
13 W 0.0000 0.0000 0.5000  2 Pd 2.83, 4 Ca 3.14
14 W 0.0000 0.5000 0.7500  2 Pd 2.83, 4 Ca 3.14
15 W 0.5000 0.0000 0.2500  2 Pd 2.83, 4 Ca 3.14
16 W 0.5000 0.5000 0.0000  2 Pd 2.83, 4 Ca 3.14

The following is a DFT calculation (PBE) of a relaxed Ca2PdW crystal.

Calculated values
Fermi-level density of states = 3.24 states/eV/f.u.
Energy of formation = 0.657 eV/atom
Polymorph energy (0 for the lowest one) = 0.000 eV per atom

Lattice parameters (Å, degrees): 7.1837 7.1837 7.1837 90.00 90.00 90.00
Closest atoms and distances in Å follow each position.
Element x y z (fractional)
1 Ca 0.2500 0.2500 0.2500  4 W 3.11, 4 Pd 3.11
2 Ca 0.2500 0.2500 0.7500  4 W 3.11, 4 Pd 3.11
3 Ca 0.2500 0.7500 0.2500  4 W 3.11, 4 Pd 3.11
4 Ca 0.2500 0.7500 0.7500  4 W 3.11, 4 Pd 3.11
5 Ca 0.7500 0.2500 0.2500  4 W 3.11, 4 Pd 3.11
6 Ca 0.7500 0.2500 0.7500  4 W 3.11, 4 Pd 3.11
7 Ca 0.7500 0.7500 0.2500  4 W 3.11, 4 Pd 3.11
8 Ca 0.7500 0.7500 0.7500  4 W 3.11, 4 Pd 3.11
9 Pd 0.0000 0.0000 0.0000  8 Ca 3.11
10 Pd 0.0000 0.5000 0.5000  8 Ca 3.11
11 Pd 0.5000 0.0000 0.5000  8 Ca 3.11
12 Pd 0.5000 0.5000 0.0000  8 Ca 3.11
13 W 0.0000 0.0000 0.5000  8 Ca 3.11
14 W 0.0000 0.5000 0.0000  8 Ca 3.11
15 W 0.5000 0.0000 0.0000  8 Ca 3.11
16 W 0.5000 0.5000 0.5000  8 Ca 3.11

The following is a DFT calculation (PBE) of a relaxed Ca2YPd3 crystal.

Calculated values
Fermi-level density of states = 2.55 states/eV/f.u.
Energy of formation = -0.764 eV/atom

Lattice parameters (Å, degrees): 7.8997 7.8997 7.0903 90.00 90.00 143.29
Closest atoms and distances in Å follow each position.
Element x y z (fractional)
1 Ca 0.0000 0.0000 0.0000  8 Pd 3.08-3.21
2 Ca 0.0000 0.0000 0.5000  8 Pd 3.03-3.07
3 Ca 0.3333 0.6667 0.0000  8 Pd 3.07-3.13
4 Ca 0.6667 0.3333 0.0000  8 Pd 3.07-3.13
5 Y 0.3365 0.6635 0.5000  8 Pd 2.96-3.00
6 Y 0.6635 0.3365 0.5000  8 Pd 2.96-3.00
7 Pd 0.1725 0.8275 0.2676  3 Y 2.96-2.99, 5 Ca 3.07-3.21, 1 Pd 3.30
8 Pd 0.1725 0.8275 0.7324  3 Y 2.96-2.99, 5 Ca 3.07-3.21, 1 Pd 3.30
9 Pd 0.5000 0.5000 0.2558  2 Y 3.00, 6 Ca 3.03-3.09
10 Pd 0.5000 0.5000 0.7442  2 Y 3.00, 6 Ca 3.03-3.09
11 Pd 0.8275 0.1725 0.2676  3 Y 2.96-2.99, 5 Ca 3.07-3.21, 1 Pd 3.30
12 Pd 0.8275 0.1725 0.7324  3 Y 2.96-2.99, 5 Ca 3.07-3.21, 1 Pd 3.30

The following is a DFT calculation (PBE) of a relaxed CaY2Pd3 crystal.

Calculated values
Fermi-level density of states = 2.84 states/eV/f.u.
Energy of formation = -0.833 eV/atom

Lattice parameters (Å, degrees): 3.4979 3.4979 10.7555 90.00 90.00 90.00
Closest atoms and distances in Å follow each position.
Element x y z (fractional)
1 Ca 0.0000 0.0000 0.0000  8 Pd 3.16, 4 Ca 3.50
2 Y 0.0000 0.0000 0.3329  8 Pd 2.96-3.06
3 Y 0.0000 0.0000 0.6671  8 Pd 2.96-3.06
4 Pd 0.5000 0.5000 0.1822  4 Y 2.96, 4 Ca 3.16
5 Pd 0.5000 0.5000 0.5000  8 Y 3.06, 2 Pd 3.42
6 Pd 0.5000 0.5000 0.8178  4 Y 2.96, 4 Ca 3.16

The following is a DFT calculation (PBE) of a relaxed CaYPd4 crystal.

Calculated values
Fermi-level density of states = 3.24 states/eV/f.u.
Energy of formation = -0.603 eV/atom
Polymorph energy (0 for the lowest one) = 0.135 eV per atom

Lattice parameters (Å, degrees): 9.7663 3.7591 6.8025 90.00 110.92 90.00
Closest atoms and distances in Å follow each position.
Element x y z (fractional)
1 Ca 0.0000 0.0000 0.0000  10 Pd 2.99-3.03
2 Ca 0.5000 0.5000 0.0000  10 Pd 2.99-3.03
3 Y 0.0000 0.0000 0.5000  10 Pd 2.93-3.02
4 Y 0.5000 0.5000 0.5000  10 Pd 2.93-3.02
5 Pd 0.1694 0.5000 0.3455  5 Pd 2.84-3.12, 3 Y 2.94-3.02, 2 Ca 3.00
6 Pd 0.1722 0.5000 0.8252  6 Pd 2.92-3.25, 2 Y 2.93, 3 Ca 2.99-3.03
7 Pd 0.3278 0.0000 0.1748  6 Pd 2.92-3.25, 2 Y 2.93, 3 Ca 2.99-3.03
8 Pd 0.3306 0.0000 0.6545  5 Pd 2.84-3.12, 3 Y 2.94-3.02, 2 Ca 3.00
9 Pd 0.6694 0.0000 0.3455  5 Pd 2.84-3.12, 3 Y 2.94-3.02, 2 Ca 3.00
10 Pd 0.6722 0.0000 0.8252  6 Pd 2.92-3.25, 2 Y 2.93, 3 Ca 2.99-3.03
11 Pd 0.8278 0.5000 0.1748  6 Pd 2.92-3.25, 2 Y 2.93, 3 Ca 2.99-3.03
12 Pd 0.8306 0.5000 0.6545  5 Pd 2.84-3.12, 3 Y 2.94-3.02, 2 Ca 3.00

The following is a DFT calculation (PBE) of a relaxed Ca2YPd5 crystal.

Calculated values
Fermi-level density of states = 3.01 states/eV/f.u.
Energy of formation = -0.649 eV/atom

Lattice parameters (Å, degrees): 4.4698 4.4698 15.5773 90.00 90.00 90.00
Closest atoms and distances in Å follow each position.
Element x y z (fractional)
1 Ca 0.0000 0.0000 0.2484  8 Pd 2.99-3.02, 4 Ca 3.16
2 Ca 0.0000 0.0000 0.7516  8 Pd 2.99-3.02, 4 Ca 3.16
3 Ca 0.5000 0.5000 0.2516  8 Pd 2.99-3.02, 4 Ca 3.16
4 Ca 0.5000 0.5000 0.7484  8 Pd 2.99-3.02, 4 Ca 3.16
5 Y 0.0000 0.0000 0.5000  12 Pd 2.92-3.16
6 Y 0.5000 0.5000 0.0000  12 Pd 2.92-3.16
7 Pd 0.0000 0.0000 0.0000  8 Pd 2.92, 4 Y 3.16
8 Pd 0.0000 0.5000 0.1209  6 Pd 2.92-3.16, 2 Y 2.92, 4 Ca 2.99-3.02
9 Pd 0.0000 0.5000 0.3791  6 Pd 2.92-3.16, 2 Y 2.92, 4 Ca 2.99-3.02
10 Pd 0.0000 0.5000 0.6209  6 Pd 2.92-3.16, 2 Y 2.92, 4 Ca 2.99-3.02
11 Pd 0.0000 0.5000 0.8791  6 Pd 2.92-3.16, 2 Y 2.92, 4 Ca 2.99-3.02
12 Pd 0.5000 0.0000 0.1209  6 Pd 2.92-3.16, 2 Y 2.92, 4 Ca 2.99-3.02
13 Pd 0.5000 0.0000 0.3791  6 Pd 2.92-3.16, 2 Y 2.92, 4 Ca 2.99-3.02
14 Pd 0.5000 0.0000 0.6209  6 Pd 2.92-3.16, 2 Y 2.92, 4 Ca 2.99-3.02
15 Pd 0.5000 0.0000 0.8791  6 Pd 2.92-3.16, 2 Y 2.92, 4 Ca 2.99-3.02
16 Pd 0.5000 0.5000 0.5000  8 Pd 2.92, 4 Y 3.16

The following is a DFT calculation (PBE) of a relaxed CaY4Pd5 crystal.

Calculated values
Fermi-level density of states = 6.12 states/eV/f.u.
Energy of formation = -0.846 eV/atom

Lattice parameters (Å, degrees): 3.4906 3.4906 17.9726 90.00 90.00 90.00
Closest atoms and distances in Å follow each position.
Element x y z (fractional)
1 Ca 0.0000 0.0000 0.0000  8 Pd 3.16, 4 Ca 3.49
2 Y 0.0000 0.0000 0.2005  8 Pd 2.96-3.07
3 Y 0.0000 0.0000 0.4007  8 Pd 3.04-3.05
4 Y 0.0000 0.0000 0.5993  8 Pd 3.04-3.05
5 Y 0.0000 0.0000 0.7995  8 Pd 2.96-3.07
6 Pd 0.5000 0.5000 0.1098  4 Y 2.96, 4 Ca 3.16
7 Pd 0.5000 0.5000 0.3019  8 Y 3.04-3.07
8 Pd 0.5000 0.5000 0.5000  8 Y 3.05
9 Pd 0.5000 0.5000 0.6981  8 Y 3.04-3.07
10 Pd 0.5000 0.5000 0.8902  4 Y 2.96, 4 Ca 3.16

The following is a DFT calculation (PBE) of a relaxed CaY2Pd crystal.

Calculated values
Fermi-level density of states = 4.62 states/eV/f.u.
Energy of formation = -0.368 eV/atom
Polymorph energy (0 for the lowest one) = 0.037 eV per atom

Lattice parameters (Å, degrees): 3.5379 3.5379 9.4640 90.00 90.00 90.00
Closest atoms and distances in Å follow each position.
Element x y z (fractional)
1 Ca 0.0000 0.0000 0.0000  4 Ca 3.54, 8 Y 3.93
2 Y 0.5000 0.5000 0.3206  4 Pd 3.02
3 Y 0.5000 0.5000 0.6794  4 Pd 3.02
4 Pd 0.0000 0.0000 0.5000  8 Y 3.02

The following is a DFT calculation (PBE) of a relaxed CaY2Pd crystal.

Calculated values
Fermi-level density of states = 3.92 states/eV/f.u.
Energy of formation = -0.302 eV/atom
Polymorph energy (0 for the lowest one) = 0.103 eV per atom

Lattice parameters (Å, degrees): 4.0324 4.0324 28.3584 90.00 90.00 120.00
Closest atoms and distances in Å follow each position.
Element x y z (fractional)
1 Ca 0.0000 0.0000 0.0000  6 Y 3.92, 6 Ca 4.03
2 Ca 0.3333 0.6667 0.6667  6 Y 3.92, 6 Ca 4.03
3 Ca 0.6667 0.3333 0.3333  6 Y 3.92, 6 Ca 4.03
4 Y 0.0000 0.0000 0.2223  3 Pd 2.81
5 Y 0.0000 0.0000 0.7777  3 Pd 2.81
6 Y 0.3333 0.6667 0.4443  3 Pd 2.81
7 Y 0.3333 0.6667 0.8890  3 Pd 2.81
8 Y 0.6667 0.3333 0.1110  3 Pd 2.81
9 Y 0.6667 0.3333 0.5557  3 Pd 2.81
10 Pd 0.0000 0.0000 0.5000  6 Y 2.81
11 Pd 0.3333 0.6667 0.1667  6 Y 2.81
12 Pd 0.6667 0.3333 0.8333  6 Y 2.81

The following is a DFT calculation (PBE) of a relaxed CaYPd6 crystal.

Calculated values
Fermi-level density of states = 9.54 states/eV/f.u.
Energy of formation = -0.649 eV/atom
Polymorph energy (0 for the lowest one) = 0.000 eV per atom

Lattice parameters (Å, degrees): 5.9067 5.9067 4.7062 90.00 90.00 120.00
Closest atoms and distances in Å follow each position.
Element x y z (fractional)
1 Ca 0.0000 0.0000 0.0000  12 Pd 2.94-2.95
2 Y 0.3333 0.6667 0.5000  12 Pd 2.94-2.95
3 Pd 0.3451 0.1725 0.5000  8 Pd 2.85-3.06, 2 Ca 2.94, 2 Y 2.95
4 Pd 0.5054 0.0108 0.0000  8 Pd 2.86-3.05, 2 Y 2.94, 2 Ca 2.95
5 Pd 0.5054 0.4946 0.0000  8 Pd 2.86-3.05, 2 Y 2.94, 2 Ca 2.95
6 Pd 0.8275 0.1725 0.5000  8 Pd 2.85-3.06, 2 Ca 2.94, 2 Y 2.95
7 Pd 0.8275 0.6549 0.5000  8 Pd 2.85-3.06, 2 Ca 2.94, 2 Y 2.95
8 Pd 0.9892 0.4946 0.0000  8 Pd 2.86-3.05, 2 Y 2.94, 2 Ca 2.95